[1]
A plane-wave DFT calculation with PBE was carried out for a relaxed AcNpIr2 crystal.

Cell and atoms, written as CIF:
```
data_AcNpIr2
_chemical_formula_sum 'Ac1 Np1 Ir2'
_cell_length_a 3.507
_cell_length_b 3.507
_cell_length_c 7.390
_cell_angle_alpha 90.00
_cell_angle_beta 90.00
_cell_angle_gamma 90.00
_symmetry_space_group_name_H-M 'P 4/m m m'
_symmetry_Int_Tables_number 123
_symmetry_space_group_name_Hall '-P 4 2'
loop_
_atom_site_label
_atom_site_fract_x
_atom_site_fract_y
_atom_site_fract_z
Ac1 0.000 0.000 0.000
Np1 0.000 0.000 0.500
Ir1 0.500 0.500 0.297
```

Computed properties:
formation energy	-0.316	eV/atom
VASP energy	-9.008	eV/atom
volume	90.9	Å³/f.u.
Fermi-level density of states	2.0191	states/eV/atom



[2]
A plane-wave DFT calculation with PBE was carried out for a relaxed LuZnSn crystal.

Cell and atoms, written as CIF:
```
data_LuZnSn
_chemical_formula_sum 'Lu2 Zn2 Sn2'
_cell_length_a 4.6915
_cell_length_b 4.6915
_cell_length_c 6.8156
_cell_angle_alpha 90.00
_cell_angle_beta 90.00
_cell_angle_gamma 120.00
_symmetry_space_group_name_H-M 'P 63/m m c'
_symmetry_Int_Tables_number 194
_symmetry_space_group_name_Hall '-P 6c 2c'
loop_
_atom_site_label
_atom_site_fract_x
_atom_site_fract_y
_atom_site_fract_z
Lu1 0.0000 0.0000 0.0000
Zn1 0.3333 0.6667 0.2500
Sn1 0.3333 0.6667 0.7500
```

Computed properties:
formation energy	-0.445	eV/atom
VASP energy	-3.711	eV/atom
volume	65.0	Å³/f.u.
Fermi-level density of states	0.3502	states/eV/atom